Density functional theory data (PBE-GGA) for an optimized crystal structure of DyIn6Se8.

The structure belongs to space group R-3 (No. 148, hexagonal axes); the cell edges are 10.5578, 10.5578 and 13.3860 Å and the angles 90.00°, 90.00° and 120.00°. Symmetry generates all atoms from Dy at (0.0000, 0.0000, 0.0000), In at (0.0132, 0.2587, 0.3692), Se at (0.0000, 0.0000, 0.3267) and Se at (0.0645, 0.7996, 0.1076).

For the density of states at the Fermi level, the calculation gives 21.64 states/eV per cell.

***

Density functional theory data (PBE-GGA) for an optimized crystal structure of Dy6InSe12.

The structure belongs to space group R-3 (No. 148, hexagonal axes); the cell edges are 12.4122, 12.4122 and 11.8810 Å and the angles 90.00°, 90.00° and 120.00°. Symmetry generates all atoms from Dy at (0.0402, 0.2686, 0.1297), In at (0.0000, 0.0000, 0.5000), Se at (0.0302, 0.2143, 0.8934) and Se at (0.0820, 0.2248, 0.3819).

For the density of states at the Fermi level, the calculation gives 25.85 states/eV per cell.

***

Density functional theory data (PBE-GGA) for an optimized crystal structure of DyIn2Se.

The structure belongs to space group Immm (No. 71); the cell edges are 4.169, 4.212 and 11.308 Å and the angles 90.00°, 90.00° and 90.00°. Symmetry generates all atoms from Dy at (0.000, 0.000, 0.000), In at (0.000, 0.500, 0.248) and Se at (0.000, 0.000, 0.500).

For the density of states at the Fermi level, the calculation gives 4.68 states/eV per cell.

***

Asked for formation energy (no corrections) across the records above, the calculation gives -0.59 -1.44 -0.65 eV per atom in order.
Asked for DFT total energy across the records above, the calculation gives -3.849 -5.242 -4.045 eV per atom in order.
Asked for size of the total moment across the records above, the calculation gives 0.0 0.0 0.0 μB per formula unit in order.